(1)
A relaxed La4Nd5Ho2 crystal, computed with GGA-PBE.

a = 3.553 Å, b = 9.605 Å, c = 12.674 Å
α = 112.27°, β = 98.06°, γ = 90.00°
Atoms (fractional coordinates):
La 0.000 0.290 0.000
La 0.593 0.593 0.186
La 0.000 0.710 0.000
La 0.407 0.407 0.814
Nd 0.847 0.052 0.694
Nd 0.847 0.642 0.694
Nd 0.153 0.358 0.306
Nd 0.153 0.948 0.306
Nd 0.500 0.000 0.000
Ho 0.271 0.271 0.543
Ho 0.729 0.729 0.457

Results
ΔE_f = 236 meV/atom
ΔE to the lowest computed polymorph = 3.706 kcal/mol of atoms
Size of the total moment = 0.00 μB per atom
SG = Immm, No. 71

=====

(2)
A relaxed Be2HgPt crystal, computed with GGA-PBE.

a = 4.206 Å, b = 4.206 Å, c = 4.206 Å
α = 60.00°, β = 60.00°, γ = 60.00°
Atoms (fractional coordinates):
Be 0.250 0.250 0.250
Be 0.750 0.750 0.750
Hg 0.500 0.500 0.500
Pt 0.000 0.000 0.000

Results
ΔE_f = -69 meV/atom
ΔE to the lowest computed polymorph = 2.170 kcal/mol of atoms
Size of the total moment = 0.00 μB per atom
SG = Fm-3m, No. 225

=====

(3)
A relaxed NaNbPH2 crystal, computed with GGA-PBE.

a = 3.604 Å, b = 7.134 Å, c = 3.604 Å
α = 90.00°, β = 90.00°, γ = 90.00°
Site moments in Bohr magnetons follow the coordinates.
Atoms (fractional coordinates):
P 0.500 0.500 0.500  -0.08
Nb 0.000 0.500 0.000  1.19
H 0.000 0.000 0.500  0.09
H 0.500 0.000 0.000  0.09
Na 0.000 0.000 0.000  0.02

Results
Calculated total energy = -3.918 eV per atom
Size of the total moment = 0.37 μB per atom
SG = P4/mmm, No. 123

=====

(4)
A relaxed MgMnIn4S8 crystal, computed with GGA-PBE.

a = 7.705 Å, b = 7.705 Å, c = 7.639 Å
α = 59.72°, β = 59.72°, γ = 60.00°
Site moments in Bohr magnetons follow the coordinates.
Atoms (fractional coordinates):
Mg 0.380 0.380 0.860  0.01
Mn 0.004 0.004 0.988  4.25
In 0.619 0.619 0.144  0.03
In 0.003 0.490 0.505  0.01
In 0.490 0.003 0.505  0.01
In 0.003 0.003 0.505  0.01
S 0.239 0.773 0.748  0.03
S 0.773 0.239 0.748  0.03
S 0.239 0.239 0.748  0.03
S 0.245 0.245 0.264  0.01
S 0.765 0.218 0.252  0.02
S 0.218 0.765 0.252  0.02
S 0.765 0.765 0.252  0.02
S 0.756 0.756 0.731  0.01

Results
Size of the total moment = 0.36 μB per atom
ΔE_f (raw) = -677 meV/atom
SG = R3m, No. 160

=====

(5)
A relaxed Sc2AgPt crystal, computed with GGA-PBE.

a = 7.519 Å, b = 7.519 Å, c = 6.065 Å
α = 51.70°, β = 51.70°, γ = 90.00°
Atoms (fractional coordinates):
Sc 0.651 0.125 0.250
Sc 0.099 0.625 0.250
Sc 0.375 0.349 0.750
Sc 0.875 0.901 0.750
Ag 0.500 0.500 0.000
Ag 0.250 0.750 0.500
Pt 0.000 0.000 0.000
Pt 0.750 0.250 0.500

Results
ΔE_f = -345 meV/atom
Size of the total moment = 0.00 μB per atom
SG = I-42d, No. 122

=====

(6)
A relaxed SrAcMgIn crystal, computed with GGA-PBE.

a = 5.814 Å, b = 5.814 Å, c = 5.814 Å
α = 60.00°, β = 60.00°, γ = 60.00°
Atoms (fractional coordinates):
Sr 0.250 0.250 0.250
Ac 0.750 0.750 0.750
Mg 0.500 0.500 0.500
In 0.000 0.000 0.000

Results
ΔE_f = -271 meV/atom
Size of the total moment = 0.00 μB per atom
SG = F-43m, No. 216

=====

(7)
A relaxed MnBe4Rh crystal, computed with GGA-PBE.

a = 4.319 Å, b = 4.319 Å, c = 4.319 Å
α = 60.00°, β = 60.00°, γ = 60.00°
Site moments in Bohr magnetons follow the coordinates.
Atoms (fractional coordinates):
Be 0.375 0.375 0.375  -0.03
Be 0.375 0.874 0.375  -0.03
Be 0.375 0.375 0.874  -0.03
Be 0.874 0.375 0.375  -0.03
Mn 0.750 0.750 0.750  3.09
Rh 0.000 0.000 0.000  0.43

Results
ΔE_f = -411 meV/atom
Size of the total moment = 0.58 μB per atom
SG = F-43m, No. 216

=====

(8)
A relaxed Pr2NpScO8 crystal, computed with GGA-PBE.

a = 4.071 Å, b = 5.519 Å, c = 7.455 Å
α = 90.09°, β = 89.98°, γ = 96.96°
Atoms (fractional coordinates):
Pr 0.500 0.499 0.742
Pr 0.500 0.501 0.258
Np 0.000 0.000 0.000
Sc 0.000 0.000 0.500
O 0.053 0.775 0.225
O 0.571 0.783 0.000
O 0.947 0.225 0.224
O 0.947 0.225 0.775
O 0.429 0.217 0.000
O 0.053 0.775 0.776
O 0.577 0.764 0.500
O 0.423 0.236 0.500

Results
Size of the total moment = 0.00 μB per atom
ΔE_f (raw) = -3021 meV/atom
SG = P-1, No. 2

=====

(9)
A relaxed Zr2PN crystal, computed with GGA-PBE.

a = 3.463 Å, b = 3.463 Å, c = 6.248 Å
α = 73.91°, β = 73.91°, γ = 60.00°
Atoms (fractional coordinates):
P 0.000 0.000 0.000
Zr 0.235 0.235 0.295
Zr 0.765 0.765 0.705
N 0.500 0.500 0.500

Results
ΔE to the lowest computed polymorph = 0.000 kcal/mol of atoms
Size of the total moment = 0.00 μB per atom
ΔE_f (raw) = -1393 meV/atom
SG = R-3m, No. 166

=====

(10)
A relaxed ReMo2Rh crystal, computed with GGA-PBE.

a = 4.851 Å, b = 4.851 Å, c = 4.850 Å
α = 132.49°, β = 132.49°, γ = 69.48°
Atoms (fractional coordinates):
Mo 0.000 0.000 0.000
Mo 0.750 0.250 0.500
Re 0.500 0.500 0.000
Rh 0.250 0.750 0.500

Results
ΔE_f = 39 meV/atom
ΔE to the lowest computed polymorph = 0.974 kcal/mol of atoms
Size of the total moment = 0.00 μB per atom
SG = I-4m2, No. 119

=====

(11)
A relaxed MoIrOs3 crystal, computed with GGA-PBE.

a = 7.273 Å, b = 4.369 Å, c = 10.010 Å
α = 90.00°, β = 90.00°, γ = 90.00°
Atoms (fractional coordinates):
Mo 0.062 0.000 0.025
Mo 0.938 0.000 0.525
Mo 0.562 0.500 0.975
Mo 0.438 0.500 0.475
Ir 0.174 0.500 0.318
Ir 0.326 0.000 0.182
Ir 0.674 0.000 0.682
Ir 0.826 0.500 0.818
Os 0.888 0.500 0.109
Os 0.112 0.500 0.609
Os 0.829 0.500 0.385
Os 0.171 0.500 0.885
Os 0.964 0.000 0.268
Os 0.536 0.500 0.232
Os 0.612 0.000 0.391
Os 0.671 0.000 0.115
Os 0.329 0.000 0.615
Os 0.388 0.000 0.891
Os 0.464 0.500 0.732
Os 0.036 0.000 0.768

Results
ΔE_f = 406 meV/atom
ΔE to the lowest computed polymorph = 0.000 kcal/mol of atoms
Size of the total moment = 0.00 μB per atom
SG = Pnma, No. 62

=====

(12)
A relaxed Li4Cd3Pd4 crystal, computed with GGA-PBE.

a = 2.873 Å, b = 4.499 Å, c = 13.975 Å
α = 80.73°, β = 84.11°, γ = 89.95°
Atoms (fractional coordinates):
Li 0.430 0.450 0.101
Li 0.570 0.550 0.899
Li 0.691 0.188 0.626
Li 0.309 0.812 0.374
Cd 0.861 0.358 0.282
Cd 0.139 0.642 0.718
Cd 0.000 0.000 0.000
Pd 0.420 0.907 0.185
Pd 0.731 0.733 0.535
Pd 0.269 0.267 0.465
Pd 0.580 0.093 0.815

Results
ΔE_f = -375 meV/atom
ΔE to the lowest computed polymorph = 0.428 kcal/mol of atoms
Size of the total moment = 0.00 μB per atom
SG = P-1, No. 2